(1)
Below is a geometry-optimized RePt2Br structure, with properties calculated at the PBE-GGA level.

Lattice parameters (Å, degrees): 2.8221 2.8221 10.2177 90.00 90.00 120.16
Last column: nearest neighbours and their distance in Å.
Sites, in units of the cell vectors:
Pt  0.0000  0.0000  0.0267  2 Re 2.68, 6 Pt 2.82
Pt  0.0000  0.0000  0.4733  2 Re 2.68, 6 Pt 2.82
Br  0.5000  0.5000  0.7500  6 Br 2.82
Re  0.5000  0.5000  0.2500  4 Pt 2.68, 6 Re 2.82

Calculated values
ΔE_f (raw)	1.98	eV per formula unit
magnetic moment	0.00	Bohr magnetons per cell
Fermi-level density of states	4.815	states/eV per cell
relative energy among the computed polymorphs	104	kJ/mol of formula units
symmetry	Cmmm (65)



(2)
Below is a geometry-optimized NiIr2Se structure, with properties calculated at the PBE-GGA level.

Lattice parameters (Å, degrees): 4.3159 4.3159 4.3159 60.00 60.00 60.00
Last column: nearest neighbours and their distance in Å.
Sites, in units of the cell vectors:
Se  0.5000  0.5000  0.5000  8 Ir 2.64
Ir  0.7500  0.7500  0.7500  4 Se 2.64, 4 Ni 2.64
Ir  0.2500  0.2500  0.2500  4 Se 2.64, 4 Ni 2.64
Ni  0.0000  0.0000  0.0000  8 Ir 2.64

Calculated values
ΔE_f (raw)	1.87	eV per formula unit
magnetic moment	0.00	Bohr magnetons per cell
Fermi-level density of states	4.339	states/eV per cell
relative energy among the computed polymorphs	88	kJ/mol of formula units
symmetry	Fm-3m (225)